[1]
First-principles (PBE) data for a relaxed Sr4CdIn2 crystal, as listed in Alexandria via LeMat-Bulk.

Cell lengths 5.739, 5.739, 9.974 Å; angles 73.28, 73.28, 60.00 degrees
Element x y z (fractional)
1 Sr 0.875 0.875 0.376
2 Sr 0.125 0.125 0.624
3 Sr 0.624 0.624 0.127
4 Sr 0.376 0.376 0.873
5 Cd 0.000 0.000 0.000
6 In 0.748 0.748 0.756
7 In 0.252 0.252 0.244

Calculated values
As for the space group: R-3m (166).

***

[2]
First-principles (PBE) data for a relaxed SrCdIn6 crystal, as listed in Alexandria via LeMat-Bulk.

Cell lengths 4.449, 7.097, 7.097 Å; angles 94.91, 90.00, 90.00 degrees
Element x y z (fractional)
1 Sr 0.500 0.500 0.500
2 Cd 0.500 0.000 0.000
3 In 0.000 0.762 0.238
4 In 0.000 0.238 0.762
5 In 0.000 0.778 0.778
6 In 0.000 0.222 0.222
7 In 0.500 0.500 0.000
8 In 0.500 0.000 0.500

Calculated values
The calculation puts the energy above the most stable polymorph in this dataset at 18 meV/atom. As for the space group: Cmmm (65).

***

| no. | formation energy from the elements (eV/atom) | density (kg/m³) |
| --- | --- | --- |
| 1 | -0.320 | 4285 |
| 2 | -0.124 | 6612 |